# 1
DFT (PBE) results for a relaxed structure of As3AuCl.

Size of the total moment (Bohr magnetons per cell): 1.581
Density (g/cm³): 5.65
Formation energy from raw total energies (eV per atom): 0.87
Space group: No. 221
Density of states at the Fermi level (states/eV/atom): 1.437
Offset from the most stable computed form (eV per atom): 0.0000
Total DFT energy (no corrections) (eV per cell): -14.71

CIF file:
```
data_As3AuCl
_chemical_formula_sum 'As3 Au1 Cl1'
_symmetry_space_group_name_H-M 'P 1'
_symmetry_Int_Tables_number 1
_cell_length_a 5.121
_cell_length_b 5.121
_cell_length_c 5.121
_cell_angle_alpha 90.00
_cell_angle_beta 90.00
_cell_angle_gamma 90.00
loop_
_symmetry_equiv_pos_as_xyz
'x,y,z'
loop_
_atom_site_label
_atom_site_fract_x
_atom_site_fract_y
_atom_site_fract_z
As1 0.000 0.500 0.000
As2 0.500 0.000 0.000
As3 0.000 0.000 0.500
Au1 0.000 0.000 0.000
Cl1 0.500 0.500 0.500
```

---

# 2
DFT (PBE) results for a relaxed structure of MnTlOs2.

Size of the total moment (Bohr magnetons per cell): 3.673
Density (g/cm³): 16.04
Formation enthalpy at 0 K (eV per atom): 0.654
Space group: No. 160
Density of states at the Fermi level (states/eV/atom): 0.954
Offset from the most stable computed form (eV per atom): 0.1701
Total DFT energy (no corrections) (eV per cell): -31.38

CIF file:
```
data_MnTlOs2
_chemical_formula_sum 'Mn1 Tl1 Os2'
_symmetry_space_group_name_H-M 'P 1'
_symmetry_Int_Tables_number 1
_cell_length_a 9.219
_cell_length_b 9.219
_cell_length_c 9.219
_cell_angle_alpha 18.13
_cell_angle_beta 18.13
_cell_angle_gamma 18.13
loop_
_symmetry_equiv_pos_as_xyz
'x,y,z'
loop_
_atom_site_label
_atom_site_fract_x
_atom_site_fract_y
_atom_site_fract_z
Tl1 0.500 0.500 0.500
Mn1 0.743 0.743 0.743
Os1 0.999 0.999 0.999
Os2 0.258 0.258 0.258
```

---

# 3
DFT (PBE) results for a relaxed structure of VZn2I.

Size of the total moment (Bohr magnetons per cell): 3.708
Density (g/cm³): 6.02
Formation energy from raw total energies (eV per atom): 0.81
Space group: No. 225
Density of states at the Fermi level (states/eV/atom): 0.686
Offset from the most stable computed form (eV per atom): 0.3018
Total DFT energy (no corrections) (eV per cell): -9.97

CIF file:
```
data_VZn2I
_chemical_formula_sum 'V1 Zn2 I1'
_symmetry_space_group_name_H-M 'P 1'
_symmetry_Int_Tables_number 1
_cell_length_a 4.938
_cell_length_b 4.938
_cell_length_c 4.938
_cell_angle_alpha 60.00
_cell_angle_beta 60.00
_cell_angle_gamma 60.00
loop_
_symmetry_equiv_pos_as_xyz
'x,y,z'
loop_
_atom_site_label
_atom_site_fract_x
_atom_site_fract_y
_atom_site_fract_z
I1 0.500 0.500 0.500
Zn1 0.250 0.250 0.250
Zn2 0.750 0.750 0.750
V1 0.000 0.000 0.000
```

---

# 4
DFT (PBE) results for a relaxed structure of CuMo2N.

Size of the total moment (Bohr magnetons per cell): 0.000
Density (g/cm³): 7.06
Formation energy from raw total energies (eV per atom): 0.62
Space group: No. 122
Density of states at the Fermi level (states/eV/atom): 0.684
Total DFT energy (no corrections) (eV per cell): -63.23

CIF file:
```
data_CuMo2N
_chemical_formula_sum 'Cu2 Mo4 N2'
_symmetry_space_group_name_H-M 'P 1'
_symmetry_Int_Tables_number 1
_cell_length_a 4.770
_cell_length_b 4.770
_cell_length_c 6.512
_cell_angle_alpha 68.52
_cell_angle_beta 68.52
_cell_angle_gamma 90.00
loop_
_symmetry_equiv_pos_as_xyz
'x,y,z'
loop_
_atom_site_label
_atom_site_fract_x
_atom_site_fract_y
_atom_site_fract_z
Mo1 0.526 0.125 0.250
Mo2 0.875 0.776 0.750
Mo3 0.375 0.474 0.750
Mo4 0.224 0.625 0.250
Cu1 0.000 0.000 0.000
Cu2 0.750 0.250 0.500
N1 0.500 0.500 0.000
N2 0.250 0.750 0.500
```

---

# 5
DFT (PBE) results for a relaxed structure of Na2Pt.

Size of the total moment (Bohr magnetons per cell): 0.141
Density (g/cm³): 5.06
Formation enthalpy at 0 K (eV per atom): 0.034
Space group: No. 225
Total DFT energy (no corrections) (eV per cell): -8.58

CIF file:
```
data_Na2Pt
_chemical_formula_sum 'Na2 Pt1'
_symmetry_space_group_name_H-M 'P 1'
_symmetry_Int_Tables_number 1
_cell_length_a 4.820
_cell_length_b 4.820
_cell_length_c 4.820
_cell_angle_alpha 60.00
_cell_angle_beta 60.00
_cell_angle_gamma 60.00
loop_
_symmetry_equiv_pos_as_xyz
'x,y,z'
loop_
_atom_site_label
_atom_site_fract_x
_atom_site_fract_y
_atom_site_fract_z
Na1 0.250 0.250 0.250
Na2 0.750 0.750 0.750
Pt1 0.000 0.000 0.000
```

---

# 6
DFT (PBE) results for a relaxed structure of Be2CuTe2.

Size of the total moment (Bohr magnetons per cell): 0.000
Density (g/cm³): 5.61
Formation energy from raw total energies (eV per atom): 0.27
Space group: No. 139
Density of states at the Fermi level (states/eV/atom): 0.378
Offset from the most stable computed form (eV per atom): 0.0000
Total DFT energy (no corrections) (eV per cell): -16.47

CIF file:
```
data_Be2CuTe2
_chemical_formula_sum 'Be2 Cu1 Te2'
_symmetry_space_group_name_H-M 'P 1'
_symmetry_Int_Tables_number 1
_cell_length_a 3.774
_cell_length_b 3.774
_cell_length_c 7.485
_cell_angle_alpha 75.40
_cell_angle_beta 75.40
_cell_angle_gamma 90.00
loop_
_symmetry_equiv_pos_as_xyz
'x,y,z'
loop_
_atom_site_label
_atom_site_fract_x
_atom_site_fract_y
_atom_site_fract_z
Te1 0.634 0.634 0.733
Te2 0.366 0.366 0.267
Cu1 0.000 0.000 0.000
Be1 0.750 0.250 0.500
Be2 0.250 0.750 0.500
```

---

# 7
DFT (PBE) results for a relaxed structure of TaRhSe2.

Size of the total moment (Bohr magnetons per cell): 0.000
Density (g/cm³): 9.36
Formation energy from raw total energies (eV per atom): 0.17
Space group: No. 166
Density of states at the Fermi level (states/eV/atom): 0.813
Offset from the most stable computed form (eV per atom): 0.6655
Total DFT energy (no corrections) (eV per cell): -25.51

CIF file:
```
data_TaRhSe2
_chemical_formula_sum 'Ta1 Rh1 Se2'
_symmetry_space_group_name_H-M 'P 1'
_symmetry_Int_Tables_number 1
_cell_length_a 8.516
_cell_length_b 8.516
_cell_length_c 8.516
_cell_angle_alpha 22.35
_cell_angle_beta 22.35
_cell_angle_gamma 22.35
loop_
_symmetry_equiv_pos_as_xyz
'x,y,z'
loop_
_atom_site_label
_atom_site_fract_x
_atom_site_fract_y
_atom_site_fract_z
Se1 0.898 0.898 0.898
Se2 0.102 0.102 0.102
Ta1 0.000 0.000 0.000
Rh1 0.500 0.500 0.500
```

---

# 8
DFT (PBE) results for a relaxed structure of Nd3AgGe3.

Size of the total moment (Bohr magnetons per cell): 0.000
Density (g/cm³): 7.45
Formation enthalpy at 0 K (eV per atom): -0.728
Space group: No. 12
Density of states at the Fermi level (states/eV/atom): 0.577
Total DFT energy (no corrections) (eV per cell): -72.20

CIF file:
```
data_Nd3AgGe3
_chemical_formula_sum 'Nd6 Ag2 Ge6'
_symmetry_space_group_name_H-M 'P 1'
_symmetry_Int_Tables_number 1
_cell_length_a 4.483
_cell_length_b 6.012
_cell_length_c 13.719
_cell_angle_alpha 84.10
_cell_angle_beta 80.60
_cell_angle_gamma 68.11
loop_
_symmetry_equiv_pos_as_xyz
'x,y,z'
loop_
_atom_site_label
_atom_site_fract_x
_atom_site_fract_y
_atom_site_fract_z
Ge1 0.029 0.170 0.772
Ge2 0.876 0.699 0.548
Ge3 0.116 0.843 0.925
Ge4 0.884 0.157 0.075
Ge5 0.124 0.301 0.452
Ge6 0.971 0.830 0.228
Nd1 0.603 0.717 0.076
Nd2 0.259 0.259 0.223
Nd3 0.741 0.741 0.777
Nd4 0.529 0.320 0.622
Nd5 0.471 0.680 0.378
Nd6 0.397 0.283 0.924
Ag1 0.241 0.917 0.601
Ag2 0.759 0.083 0.399
```